Record 1
## LiCSe2 (PBE)

Data for an optimized crystal structure of LiCSe2.

The calculation puts the energy above the most stable polymorph in this dataset at 0.802 eV per atom.

The space group is Fm-3m (No. 225) and the conventional cell measures 6.315, 6.315 and 6.315 Å, with angles of 90.00, 90.00 and 90.00 degrees. The inequivalent atoms are Li at (0.000, 0.000, 0.000), C at (0.000, 0.000, 0.500) and Se at (0.250, 0.250, 0.250).

Record 2
## Na2Au2Cl7 (PBE)

Data for an optimized crystal structure of Na2Au2Cl7.

The calculation puts the energy above the most stable polymorph in this dataset at 0.000 eV per atom.

The space group is C2/m (No. 12) and the conventional cell measures 7.920, 11.783 and 7.122 Å, with angles of 90.00, 91.03 and 90.00 degrees. The inequivalent atoms are Na at (0.000, 0.200, 0.000), Au at (0.246, 0.000, 0.695), Cl at (0.000, 0.500, 0.500), Cl at (0.050, 0.000, 0.234) and Cl at (0.239, 0.303, 0.265).

Record 3
## Hf4RhN (PBE)

Data for an optimized crystal structure of Hf4RhN.

The total energy is -9.87 eV per atom.

The space group is Pnc2 (No. 30) and the conventional cell measures 6.474, 5.234 and 6.762 Å, with angles of 90.00, 90.00 and 90.00 degrees. The inequivalent atoms are Hf at (0.128, 0.249, 0.000), Hf at (0.278, 0.745, 0.245), Rh at (0.500, 0.000, 0.494) and N at (0.000, 0.000, 0.747).

Record 4
## KIn2Si2 (PBE)

Data for an optimized crystal structure of KIn2Si2.

The calculation puts the energy above the most stable polymorph in this dataset at 0.081 eV per atom.

The space group is I4/mmm (No. 139) and the conventional cell measures 4.742, 4.742 and 11.548 Å, with angles of 90.00, 90.00 and 90.00 degrees. The inequivalent atoms are K at (0.000, 0.000, 0.000), In at (0.000, 0.000, 0.374) and Si at (0.000, 0.500, 0.250).

Record 5
## Pr4ZrPa3N8 (PBE)

Data for an optimized crystal structure of Pr4ZrPa3N8.

The total energy is -9.23 eV per atom.

The space group is R-3m (No. 166, hexagonal axes) and the conventional cell measures 7.0686, 7.0686 and 17.6637 Å, with angles of 90.00, 90.00 and 120.00 degrees. The inequivalent atoms are Pr at (0.0000, 0.0000, 0.0000), Pr at (0.0000, 0.5000, 0.0000), Zr at (0.0000, 0.0000, 0.5000), Pa at (0.0000, 0.5000, 0.5000), N at (0.0000, 0.0000, 0.2356) and N at (0.0020, 0.5010, 0.2347).

Record 6
## Dy2Th3Te8 (PBE)

Data for an optimized crystal structure of Dy2Th3Te8.

The total energy is -5.50 eV per atom.

The space group is C2/m (No. 12) and the conventional cell measures 15.732, 8.781 and 7.412 Å, with angles of 90.00, 106.72 and 90.00 degrees. The inequivalent atoms are Dy at (0.245, 0.000, 0.326), Th at (0.000, 0.000, 0.500), Th at (0.000, 0.248, 0.000), Te at (0.112, 0.500, 0.886), Te at (0.127, 0.253, 0.418) and Te at (0.131, 0.000, 0.913).

Record 7
## BaAc2Cd6 (PBE)

Data for an optimized crystal structure of BaAc2Cd6.

The total energy is -2.06 eV per atom.

The space group is P6/mmm (No. 191) and the conventional cell measures 9.0401, 9.0401 and 3.9033 Å, with angles of 90.00, 90.00 and 120.00 degrees. The inequivalent atoms are Ba at (0.0000, 0.0000, 0.0000), Ac at (0.3333, 0.6667, 0.0000) and Cd at (0.0000, 0.3356, 0.5000).

Record 8
## TeAsHSe2 (PBE)

Data for an optimized crystal structure of TeAsHSe2.

The calculation puts the energy above the most stable polymorph in this dataset at 0.000 eV per atom.

The space group is P4/mmm (No. 123) and the conventional cell measures 5.107, 5.107 and 3.573 Å, with angles of 90.00, 90.00 and 90.00 degrees. The inequivalent atoms are Te at (0.000, 0.000, 0.000), As at (0.500, 0.500, 0.000), H at (0.500, 0.500, 0.500) and Se at (0.000, 0.500, 0.500).

Record 9
## Nd6SnIr (PBE)

Data for an optimized crystal structure of Nd6SnIr.

The total energy is -5.37 eV per atom.

The space group is P-1 (No. 2) and the conventional cell measures 7.041, 7.070 and 7.878 Å, with angles of 90.32, 116.21 and 119.83 degrees. The inequivalent atoms are Nd at (0.037, 0.080, 0.258), Nd at (0.301, 0.721, 0.258), Nd at (0.320, 0.542, 0.743), Sn at (0.500, 0.000, 0.000) and Ir at (0.500, 0.500, 0.500).

Record 10
## AcEu2Pb (PBE)

Data for an optimized crystal structure of AcEu2Pb.

The calculation puts the energy above the most stable polymorph in this dataset at 0.172 eV per atom.

The space group is Fm-3m (No. 225) and the conventional cell measures 8.257, 8.257 and 8.257 Å, with angles of 90.00, 90.00 and 90.00 degrees. The inequivalent atoms are Ac at (0.000, 0.000, 0.000), Eu at (0.250, 0.250, 0.250) and Pb at (0.000, 0.000, 0.500).

Record 11
## Ho3AgHg2 (PBE)

Data for an optimized crystal structure of Ho3AgHg2.

The calculation puts the energy above the most stable polymorph in this dataset at 0.004 eV per atom.

The space group is P4/mmm (No. 123) and the conventional cell measures 3.676, 3.676 and 11.040 Å, with angles of 90.00, 90.00 and 90.00 degrees. The inequivalent atoms are Ho at (0.000, 0.000, 0.000), Ho at (0.000, 0.000, 0.338), Ag at (0.500, 0.500, 0.500) and Hg at (0.500, 0.500, 0.168).

Record 12
## ZrCuRh2 (PBE)

Data for an optimized crystal structure of ZrCuRh2.

The total energy is -7.10 eV per atom.

The space group is F-43m (No. 216) and the conventional cell measures 6.314, 6.314 and 6.314 Å, with angles of 90.00, 90.00 and 90.00 degrees. The inequivalent atoms are Zr at (0.000, 0.000, 0.000), Cu at (0.250, 0.250, 0.250), Rh at (0.000, 0.000, 0.500) and Rh at (0.250, 0.250, 0.750).

no.,total magnetization (μB per cell)
1,0.00
2,1.56
3,0.00
4,0.00
5,0.00
6,0.00
7,0.00
8,0.00
9,0.00
10,65.90
11,0.00
12,0.00